(1)
Here is crystalline Ca2GaAu at its relaxed geometry from the Alexandria database. Energies are from GGA-PBE.

abc: 10.171 10.171 10.171
angles: 22.25 22.25 22.25
Fractional coordinates of all 4 atoms:
Ca 0.103 0.103 0.103
Ca 0.897 0.897 0.897
Ga 0.000 0.000 0.000
Au 0.500 0.500 0.500

Values from the calculation:
E	-11.0	eV/cell
formation energy from the elements	-0.17	eV per atom
total moment	0.00	μB per formula unit

(2)
Here is crystalline HgH6Pd4 at its relaxed geometry from the Alexandria database. Energies are from GGA-PBE.

abc: 4.910 5.422 5.427
angles: 64.80 64.27 64.29
Fractional coordinates of all 11 atoms:
Hg 0.000 0.000 0.000
H 0.085 0.636 0.634
H 0.196 0.300 0.298
H 0.576 0.492 0.959
H 0.577 0.960 0.490
H 0.602 0.228 0.687
H 0.604 0.690 0.223
Pd 0.261 0.433 0.921
Pd 0.263 0.922 0.430
Pd 0.546 0.345 0.342
Pd 0.649 0.834 0.831

Values from the calculation:
E	-41.4	eV/cell
total moment	0.00	μB per formula unit

(3)
Here is crystalline Pm2TePb at its relaxed geometry from the Alexandria database. Energies are from GGA-PBE.

abc: 7.843 7.843 7.843
angles: 33.46 33.46 33.46
Fractional coordinates of all 4 atoms:
Pm 0.248 0.248 0.248
Pm 0.752 0.752 0.752
Te 0.000 0.000 0.000
Pb 0.500 0.500 0.500

Values from the calculation:
E	-20.4	eV/cell
polymorph energy (0 for the lowest one)	22	meV per atom
raw formation energy	-1.0165	eV/atom
total moment	0.00	μB per formula unit